(1)
Here is crystalline YMo2Se at its relaxed geometry from the Alexandria database. Energies are from PBE.

Values from the calculation:
As for the crystal system: trigonal. The space-group type is R-3m. Its total magnetization is 0.000 μB per formula unit. The formation energy from raw total energies is 0.394 eV/atom.

Structure (POSCAR):
```
YMo2Se
1.0
-8.521 -0.814 0.307
-7.813 -2.596 -2.360
-7.577 -3.944 0.626
Se Y Mo
1 1 2
Cartesian
-5.978 -1.838 -0.357 Se
-17.933 -5.515 -1.070 Y
-12.281 -3.777 -0.733 Mo
-23.586 -7.253 -1.408 Mo
```

---

(2)
Here is crystalline LaSbTe2Cl at its relaxed geometry from the Alexandria database. Energies are from PBE.

Values from the calculation:
As for the crystal system: tetragonal. The space-group type is P4/mmm. Its total magnetization is 0.000 μB per formula unit. Its offset from the most stable computed form is 0.00 eV per formula unit. The formation energy from raw total energies is -0.200 eV/atom.

Structure (POSCAR):
```
LaSbTe2Cl
1.0
5.532 0.000 0.000
0.000 5.532 0.000
0.000 0.000 5.146
Cl La Te Sb
1 1 2 1
Cartesian
0.000 0.000 0.000 Cl
2.766 2.766 2.573 La
0.000 2.766 0.000 Te
2.766 0.000 0.000 Te
0.000 0.000 2.573 Sb
```

---

(3)
Here is crystalline CaLaIn at its relaxed geometry from the Alexandria database. Energies are from PBE.

Values from the calculation:
As for the crystal system: monoclinic. The space-group type is P2_1/m. Its total magnetization is 0.000 μB per formula unit. Its offset from the most stable computed form is 0.41 eV per formula unit. The formation energy comes out at -309.6 meV/atom.

Structure (POSCAR):
```
CaLaIn
1.0
3.863 0.000 0.000
0.002 9.563 -0.002
0.000 0.003 5.294
La Ca In
2 2 2
Cartesian
3.199 4.156 0.638 La
1.259 5.096 3.289 La
3.196 8.286 3.287 Ca
1.263 0.966 0.640 Ca
3.193 2.072 3.286 In
1.266 7.180 0.642 In
```

---

(4)
Here is crystalline TiNb6V at its relaxed geometry from the Alexandria database. Energies are from PBE.

Values from the calculation:
As for the crystal system: orthorhombic. The space-group type is Cmmm. Its total magnetization is 0.002 μB per formula unit. The formation energy comes out at 27.2 meV/atom.

Structure (POSCAR):
```
TiNb6V
1.0
-1.188 -2.218 3.872
-3.958 -2.896 -2.874
4.912 -2.859 -0.130
Nb V Ti
6 1 1
Cartesian
1.229 -5.420 0.026 Nb
-0.383 -4.385 -2.630 Nb
-0.881 -1.379 -1.060 Nb
1.547 -2.873 -1.171 Nb
-2.811 -2.891 -2.519 Nb
0.753 -2.543 1.528 Nb
3.209 -3.972 1.463 V
-1.227 -3.991 0.091 Ti
```

---

(5)
Here is crystalline InRe2Au at its relaxed geometry from the Alexandria database. Energies are from PBE.

Values from the calculation:
As for the crystal system: trigonal. The space-group type is R3m. Its total magnetization is 0.000 μB per formula unit. The formation energy comes out at 275.5 meV/atom.

Structure (POSCAR):
```
InRe2Au
1.0
-3.452 -6.402 -6.287
-2.296 -8.242 -4.384
-4.964 -7.216 -3.963
In Re Au
1 2 1
Cartesian
-7.997 -16.320 -10.925 In
-10.652 -21.740 -14.553 Re
-2.739 -5.591 -3.743 Re
-5.390 -11.001 -7.364 Au
```

---

(6)
Here is crystalline V2ZnCl6 at its relaxed geometry from the Alexandria database. Energies are from PBE.

Values from the calculation:
As for the crystal system: monoclinic. The space-group type is C2/m. Its total magnetization is 6.000 μB per formula unit. Its offset from the most stable computed form is 0.00 eV per formula unit. The formation energy from raw total energies is -1.120 eV/atom.

Structure (POSCAR):
```
V2ZnCl6
1.0
-2.704 -0.960 2.223
2.349 -6.112 -2.746
5.239 2.478 7.441
Cl V Zn
6 2 1
Cartesian
0.736 -6.079 1.233 Cl
-0.370 -2.863 1.276 Cl
1.832 -0.867 4.816 Cl
5.255 -1.731 5.643 Cl
3.053 -3.727 2.103 Cl
4.148 1.484 5.686 Cl
3.336 -0.599 6.761 V
1.549 -3.996 0.157 V
2.619 1.239 3.721 Zn
```

---

(7)
Here is crystalline MoPRh2 at its relaxed geometry from the Alexandria database. Energies are from PBE.

Values from the calculation:
As for the crystal system: tetragonal. The space-group type is I4/mmm. Its total magnetization is 0.537 μB per formula unit. The formation energy comes out at -165.5 meV/atom.

Structure (POSCAR):
```
MoPRh2
1.0
4.037 -1.597 1.929
-0.284 -0.208 4.738
-2.788 -1.600 -3.498
P Rh Mo
1 2 1
Cartesian
0.000 0.000 0.000 P
-0.598 -1.356 2.286 Rh
1.563 -2.050 0.882 Rh
1.876 -0.903 3.334 Mo
```

---

(8)
Here is crystalline W2SBr at its relaxed geometry from the Alexandria database. Energies are from PBE.

Values from the calculation:
As for the crystal system: cubic. The space-group type is Fm-3m. Its total magnetization is 0.000 μB per formula unit. Its offset from the most stable computed form is 1.42 eV per formula unit. The formation energy from raw total energies is 1.011 eV/atom.

Structure (POSCAR):
```
W2SBr
1.0
1.092 -2.053 3.734
-2.706 0.149 3.465
-2.181 -3.612 1.244
Br W S
1 2 1
Cartesian
-1.898 -2.758 4.222 Br
-2.847 -4.137 6.332 W
-0.949 -1.379 2.111 W
0.000 0.000 0.000 S
```